This record from Alexandria via LeMat-Bulk describes a relaxed structure of TmPuTlAu. The functional is GGA-PBE.

Values from the calculation:
Energy   -0.2367 Ha/atom
Magnetization   5.7 Bohr magnetons per cell
N(E_F)   2.45 states/eV/atom
Space-group type   F-43m, No. 216

```
TmPuTlAu
1.0
-0.487 -5.086 -1.164
2.417 -1.967 -4.213
4.086 -3.226 0.592
Tm Tl Au Pu
1 1 1 1
direct
0.250 0.250 0.250
0.500 0.500 0.500
0.000 0.000 0.000
0.750 0.750 0.750
```